# 1
# Rb5CrO4 | Alexandria | GGA+U | optimized geometry
data_Rb5CrO4
_chemical_formula_sum 'Rb10 Cr2 O8'
_cell_length_a 8.2008
_cell_length_b 9.3131
_cell_length_c 6.7078
_cell_angle_alpha 90.00
_cell_angle_beta 90.00
_cell_angle_gamma 90.00
_symmetry_space_group_name_H-M 'P 1'
_symmetry_Int_Tables_number 1
_symmetry_space_group_name_Hall 'P 1'
loop_
_atom_site_label
_atom_site_fract_x
_atom_site_fract_y
_atom_site_fract_z
_atom_site_occupancy
Rb1 0.0018 0.0599 0.2413 1
Rb2 0.0018 0.4401 0.2413 1
Rb3 0.2500 0.7500 0.3112 1
Rb4 0.4982 0.0599 0.2413 1
Rb5 0.4982 0.4401 0.2413 1
Rb6 0.5018 0.5599 0.7587 1
Rb7 0.5018 0.9401 0.7587 1
Rb8 0.7500 0.2500 0.6888 1
Rb9 0.9982 0.5599 0.7587 1
Rb10 0.9982 0.9401 0.7587 1
Cr1 0.2500 0.2500 0.6922 1
Cr2 0.7500 0.7500 0.3078 1
O1 0.0646 0.2500 0.8447 1
O2 0.2500 0.0856 0.5377 1
O3 0.2500 0.4144 0.5377 1
O4 0.4354 0.2500 0.8447 1
O5 0.5646 0.7500 0.1553 1
O6 0.7500 0.5856 0.4623 1
O7 0.7500 0.9144 0.4623 1
O8 0.9354 0.7500 0.1553 1
# V	512.30	Å³/cell
# magnetic moment	5.178	Bohr magnetons per cell
# E_tot	-88.79	eV/cell

# 2
# Rb3CrO8 | Alexandria | GGA+U | optimized geometry
data_Rb3CrO8
_chemical_formula_sum 'Rb3 Cr1 O8'
_cell_length_a 6.4284
_cell_length_b 6.4284
_cell_length_c 6.4284
_cell_angle_alpha 113.07
_cell_angle_beta 113.07
_cell_angle_gamma 102.48
_symmetry_space_group_name_H-M 'P 1'
_symmetry_Int_Tables_number 1
_symmetry_space_group_name_Hall 'P 1'
loop_
_atom_site_label
_atom_site_fract_x
_atom_site_fract_y
_atom_site_fract_z
_atom_site_occupancy
Rb1 0.0000 0.0000 0.0000 1
Rb2 0.2500 0.7500 0.5000 1
Rb3 0.7500 0.2500 0.5000 1
Cr1 0.5000 0.5000 0.0000 1
O1 0.1969 0.1969 0.7410 1
O2 0.2857 0.2857 0.6022 1
O3 0.3166 0.7143 0.0000 1
O4 0.4559 0.4559 0.2590 1
O5 0.5441 0.8031 0.0000 1
O6 0.6834 0.6834 0.3978 1
O7 0.7143 0.3166 0.0000 1
O8 0.8031 0.5441 0.0000 1
# V	202.25	Å³/cell
# magnetic moment	1.000	Bohr magnetons per cell
# E_tot	-62.23	eV/cell

# 3
# Rb2CrO4 | Alexandria | GGA+U | optimized geometry
data_Rb2CrO4
_chemical_formula_sum 'Rb8 Cr4 O16'
_cell_length_a 8.1349
_cell_length_b 6.2054
_cell_length_c 10.9532
_cell_angle_alpha 90.00
_cell_angle_beta 90.00
_cell_angle_gamma 90.00
_symmetry_space_group_name_H-M 'P 1'
_symmetry_Int_Tables_number 1
_symmetry_space_group_name_Hall 'P 1'
loop_
_atom_site_label
_atom_site_fract_x
_atom_site_fract_y
_atom_site_fract_z
_atom_site_occupancy
Rb1 0.0076 0.2500 0.1985 1
Rb2 0.1694 0.7500 0.4172 1
Rb3 0.3306 0.2500 0.9172 1
Rb4 0.4924 0.7500 0.6985 1
Rb5 0.5076 0.2500 0.3015 1
Rb6 0.6694 0.7500 0.0828 1
Rb7 0.8306 0.2500 0.5828 1
Rb8 0.9924 0.7500 0.8015 1
Cr1 0.2299 0.7500 0.0803 1
Cr2 0.2701 0.2500 0.5803 1
Cr3 0.7299 0.7500 0.4197 1
Cr4 0.7701 0.2500 0.9197 1
O1 0.0254 0.7500 0.0788 1
O2 0.1978 0.2500 0.4373 1
O3 0.2024 0.0300 0.6521 1
O4 0.2024 0.4700 0.6521 1
O5 0.2977 0.5300 0.1521 1
O6 0.2977 0.9700 0.1521 1
O7 0.3022 0.7500 0.9373 1
O8 0.4746 0.2500 0.5788 1
O9 0.5254 0.7500 0.4212 1
O10 0.6978 0.2500 0.0627 1
O11 0.7024 0.0300 0.8479 1
O12 0.7024 0.4700 0.8479 1
O13 0.7976 0.5300 0.3479 1
O14 0.7976 0.9700 0.3479 1
O15 0.8022 0.7500 0.5627 1
O16 0.9746 0.2500 0.9212 1
# relative energy among the computed polymorphs	0	meV/atom
# V	552.92	Å³/cell
# magnetic moment	0.395	Bohr magnetons per cell

# 4
# Rb3Cr2O8 | Alexandria | GGA+U | optimized geometry
data_Rb3Cr2O8
_chemical_formula_sum 'Rb3 Cr2 O8'
_cell_length_a 8.3235
_cell_length_b 8.3235
_cell_length_c 8.3235
_cell_angle_alpha 43.19
_cell_angle_beta 43.19
_cell_angle_gamma 43.19
_symmetry_space_group_name_H-M 'P 1'
_symmetry_Int_Tables_number 1
_symmetry_space_group_name_Hall 'P 1'
loop_
_atom_site_label
_atom_site_fract_x
_atom_site_fract_y
_atom_site_fract_z
_atom_site_occupancy
Rb1 0.0000 0.0000 0.0000 1
Rb2 0.2041 0.2041 0.2041 1
Rb3 0.7959 0.7959 0.7959 1
Cr1 0.4082 0.4082 0.4082 1
Cr2 0.5918 0.5918 0.5918 1
O1 0.2710 0.7160 0.7160 1
O2 0.2840 0.2840 0.7290 1
O3 0.2840 0.7290 0.2840 1
O4 0.3344 0.3344 0.3344 1
O5 0.6656 0.6656 0.6656 1
O6 0.7160 0.2710 0.7160 1
O7 0.7160 0.7160 0.2710 1
O8 0.7290 0.2840 0.2840 1
# V	244.94	Å³/cell
# magnetic moment	1.087	Bohr magnetons per cell
# E_tot	-76.69	eV/cell

# 5
# Rb4CrO5 | Alexandria | GGA+U | optimized geometry
data_Rb4CrO5
_chemical_formula_sum 'Rb4 Cr1 O5'
_cell_length_a 6.5936
_cell_length_b 6.5936
_cell_length_c 6.5936
_cell_angle_alpha 101.00
_cell_angle_beta 101.00
_cell_angle_gamma 128.20
_symmetry_space_group_name_H-M 'P 1'
_symmetry_Int_Tables_number 1
_symmetry_space_group_name_Hall 'P 1'
loop_
_atom_site_label
_atom_site_fract_x
_atom_site_fract_y
_atom_site_fract_z
_atom_site_occupancy
Rb1 0.1104 0.2940 0.4044 1
Rb2 0.2940 0.8896 0.1836 1
Rb3 0.7060 0.1104 0.8164 1
Rb4 0.8896 0.7060 0.5956 1
Cr1 0.5560 0.5560 0.0000 1
O1 0.2821 0.5476 0.8607 1
O2 0.4214 0.2821 0.7345 1
O3 0.5476 0.6868 0.2655 1
O4 0.6868 0.4214 0.1393 1
O5 0.8506 0.8506 0.0000 1
# V	202.64	Å³/cell
# magnetic moment	0.001	Bohr magnetons per cell
# E_tot	-49.76	eV/cell

# 6
# Rb2Cr2O7 | Alexandria | GGA+U | optimized geometry
data_Rb2Cr2O7
_chemical_formula_sum 'Rb8 Cr8 O28'
_cell_length_a 7.8759
_cell_length_b 7.8934
_cell_length_c 14.1391
_cell_angle_alpha 84.52
_cell_angle_beta 86.88
_cell_angle_gamma 88.48
_symmetry_space_group_name_H-M 'P 1'
_symmetry_Int_Tables_number 1
_symmetry_space_group_name_Hall 'P 1'
loop_
_atom_site_label
_atom_site_fract_x
_atom_site_fract_y
_atom_site_fract_z
_atom_site_occupancy
Rb1 0.0916 0.3275 0.1625 1
Rb2 0.2357 0.7191 0.3584 1
Rb3 0.3395 0.3060 0.8622 1
Rb4 0.3522 0.8785 0.6412 1
Rb5 0.6478 0.1215 0.3588 1
Rb6 0.6605 0.6940 0.1378 1
Rb7 0.7643 0.2809 0.6416 1
Rb8 0.9084 0.6725 0.8375 1
Cr1 0.1571 0.7989 0.0884 1
Cr2 0.1835 0.1935 0.4178 1
Cr3 0.2287 0.3910 0.6072 1
Cr4 0.4085 0.8071 0.8963 1
Cr5 0.5915 0.1929 0.1037 1
Cr6 0.7713 0.6090 0.3928 1
Cr7 0.8165 0.8065 0.5822 1
Cr8 0.8429 0.2011 0.9116 1
O1 0.0071 0.6869 0.0499 1
O2 0.0195 0.1341 0.3648 1
O3 0.0735 0.9474 0.1496 1
O4 0.0960 0.4300 0.6961 1
O5 0.1127 0.2838 0.5257 1
O6 0.2778 0.6709 0.1558 1
O7 0.2832 0.8956 0.9894 1
O8 0.2896 0.3335 0.3470 1
O9 0.2917 0.6841 0.8400 1
O10 0.3023 0.5681 0.5537 1
O11 0.3091 0.0286 0.4443 1
O12 0.3856 0.2693 0.6479 1
O13 0.4304 0.3025 0.0600 1
O14 0.4756 0.9654 0.8219 1
O15 0.5244 0.0346 0.1781 1
O16 0.5696 0.6975 0.9400 1
O17 0.6144 0.7307 0.3521 1
O18 0.6909 0.9714 0.5557 1
O19 0.6977 0.4319 0.4463 1
O20 0.7083 0.3159 0.1600 1
O21 0.7104 0.6665 0.6530 1
O22 0.7168 0.1044 0.0106 1
O23 0.7222 0.3291 0.8442 1
O24 0.8873 0.7162 0.4743 1
O25 0.9040 0.5700 0.3039 1
O26 0.9265 0.0526 0.8504 1
O27 0.9805 0.8659 0.6352 1
O28 0.9929 0.3131 0.9501 1
# relative energy among the computed polymorphs	0	meV/atom
# V	873.46	Å³/cell
# magnetic moment	0.388	Bohr magnetons per cell

# 7
# Rb3CrO4 | Alexandria | GGA+U | optimized geometry
data_Rb3CrO4
_chemical_formula_sum 'Rb12 Cr4 O16'
_cell_length_a 8.1855
_cell_length_b 9.0422
_cell_length_c 8.9349
_cell_angle_alpha 90.00
_cell_angle_beta 90.00
_cell_angle_gamma 90.00
_symmetry_space_group_name_H-M 'P 1'
_symmetry_Int_Tables_number 1
_symmetry_space_group_name_Hall 'P 1'
loop_
_atom_site_label
_atom_site_fract_x
_atom_site_fract_y
_atom_site_fract_z
_atom_site_occupancy
Rb1 0.0361 0.0241 0.2219 1
Rb2 0.0361 0.4759 0.2219 1
Rb3 0.1757 0.7500 0.4812 1
Rb4 0.3243 0.2500 0.9812 1
Rb5 0.4639 0.5241 0.7219 1
Rb6 0.4639 0.9759 0.7219 1
Rb7 0.5361 0.0241 0.2781 1
Rb8 0.5361 0.4759 0.2781 1
Rb9 0.6757 0.7500 0.0188 1
Rb10 0.8243 0.2500 0.5188 1
Rb11 0.9639 0.5241 0.7781 1
Rb12 0.9639 0.9759 0.7781 1
Cr1 0.2257 0.7500 0.9839 1
Cr2 0.2743 0.2500 0.4839 1
Cr3 0.7257 0.7500 0.5161 1
Cr4 0.7743 0.2500 0.0161 1
O1 0.0266 0.7500 0.0533 1
O2 0.1806 0.0877 0.5389 1
O3 0.1806 0.4123 0.5389 1
O4 0.2225 0.7500 0.7883 1
O5 0.2775 0.2500 0.2883 1
O6 0.3194 0.5877 0.0389 1
O7 0.3194 0.9123 0.0389 1
O8 0.4734 0.2500 0.5533 1
O9 0.5266 0.7500 0.4467 1
O10 0.6806 0.0877 0.9611 1
O11 0.6806 0.4123 0.9611 1
O12 0.7225 0.7500 0.7117 1
O13 0.7775 0.2500 0.2117 1
O14 0.8194 0.5877 0.4611 1
O15 0.8194 0.9123 0.4611 1
O16 0.9734 0.2500 0.9467 1
# V	661.32	Å³/cell
# magnetic moment	4.000	Bohr magnetons per cell
# E_tot	-172.90	eV/cell

# 8
# Rb4CrO4 | Alexandria | GGA+U | optimized geometry
data_Rb4CrO4
_chemical_formula_sum 'Rb8 Cr2 O8'
_cell_length_a 7.8168
_cell_length_b 7.8168
_cell_length_c 6.2571
_cell_angle_alpha 90.00
_cell_angle_beta 90.00
_cell_angle_gamma 90.00
_symmetry_space_group_name_H-M 'P 1'
_symmetry_Int_Tables_number 1
_symmetry_space_group_name_Hall 'P 1'
loop_
_atom_site_label
_atom_site_fract_x
_atom_site_fract_y
_atom_site_fract_z
_atom_site_occupancy
Rb1 0.0331 0.2500 0.1276 1
Rb2 0.2500 0.0331 0.6276 1
Rb3 0.2500 0.4669 0.6276 1
Rb4 0.4669 0.2500 0.1276 1
Rb5 0.5331 0.7500 0.8724 1
Rb6 0.7500 0.5331 0.3724 1
Rb7 0.7500 0.9669 0.3724 1
Rb8 0.9669 0.7500 0.8724 1
Cr1 0.2500 0.7500 0.2500 1
Cr2 0.7500 0.2500 0.7500 1
O1 0.0598 0.7500 0.4199 1
O2 0.2500 0.5598 0.0801 1
O3 0.2500 0.9402 0.0801 1
O4 0.4402 0.7500 0.4199 1
O5 0.5598 0.2500 0.5801 1
O6 0.7500 0.0598 0.9199 1
O7 0.7500 0.4402 0.9199 1
O8 0.9402 0.2500 0.5801 1
# V	382.32	Å³/cell
# magnetic moment	4.000	Bohr magnetons per cell
# E_tot	-88.68	eV/cell